! ReNiP2S (PBE, optimized geometry); values from VASP
&SYSTEM
  ibrav = 0, nat = 5, ntyp = 4
/
ATOMIC_SPECIES
Re 186.21 Re.upf
Ni 58.69 Ni.upf
P 30.97 P.upf
S 32.06 S.upf
CELL_PARAMETERS angstrom
4.253 0.000 0.000
0.000 4.253 0.000
0.000 0.000 4.407
ATOMIC_POSITIONS crystal
Re 0.000 0.000 0.000
Ni 0.500 0.500 0.500
P 0.000 0.500 0.500
P 0.500 0.000 0.500
S 0.500 0.500 0.000
! space group = P4/mmm, No. 123
! polymorph energy (0 for the lowest one) = 147.9 meV/atom
! crystal system = tetragonal
! formation energy without anion corrections = 1.093 eV per atom
! N(E_F) = 3.9 states/eV/f.u.